A relaxed Al2AsPb crystal. Source: the Alexandria database, functional PBE.

energy relative to the elements = 0.12 eV/atom
theoretical density = 6.5 Mg/m³
distance to the lowest polymorph of the same formula = 0.49 eV/f.u.
E = -3.84 eV per atom

Lattice parameters (Å, degrees): 3.436 3.468 7.244 90.00 90.62 90.00
Fractional coordinates of all 4 atoms:
Al: 0.002 0.000 0.191
Al: 0.998 0.000 0.809
As: 0.500 0.500 0.000
Pb: 0.500 0.500 0.500